First-principles (GGA-PBEsol) data for an optimized crystal structure of TaReSe, as listed in the Alexandria database.

Output
Raw formation energy, eV per atom: 0.2620

a b c (Å): 4.2578 4.2578 4.2578
angles (deg): 60.00 60.00 60.00
Atoms (fractional coordinates):
Re1 0.7500 0.7500 0.7500
Se1 0.0000 0.0000 0.0000
Ta1 0.5000 0.5000 0.5000